1.
Here is Ti6ZnGa after structural relaxation from Alexandria via LeMat-Bulk. Energies are from PBE.

Output
D(E_F) (states/eV/f.u.): 10.700
ΔE_f (eV per atom): 0.198
VASP energy (eV per atom): -6.2604
Total magnetic moment (Bohr magnetons per cell): 2.320
SG: C2/m

Cell lengths 5.6973, 5.6973, 5.7932 Å; angles 105.28, 105.28, 118.91 degrees
Fractional positions:
Ti  0.0223  0.4790  0.2498
Ti  0.5210  0.9777  0.7502
Ti  0.4790  0.0223  0.2498
Ti  0.2508  0.2508  0.7488
Ti  0.7492  0.7492  0.2512
Ti  0.9777  0.5210  0.7502
Ga  0.0000  0.0000  0.0000
Zn  0.5000  0.5000  0.5000

***

2.
Here is Ti2ZnGa4 after structural relaxation from Alexandria via LeMat-Bulk. Energies are from PBE.

Output
D(E_F) (states/eV/f.u.): 2.022
ΔE_f (eV per atom): -0.283
VASP energy (eV per atom): -4.4508
Total magnetic moment (Bohr magnetons per cell): 0.000
SG: I4/mmm

Cell lengths 5.4733, 5.4733, 5.4733 Å; angles 91.55, 119.11, 119.11 degrees
Fractional positions:
Zn  0.0000  0.0000  0.0000
Ga  0.0000  0.5000  0.0000
Ga  0.0000  0.0000  0.5000
Ga  0.5000  0.5000  0.5000
Ga  0.5000  0.0000  0.0000
Ti  0.5000  0.5000  0.0000
Ti  0.5000  0.0000  0.5000

***

3.
Here is Ti11Zn9Ga4 after structural relaxation from Alexandria via LeMat-Bulk. Energies are from PBE.

Output
D(E_F) (states/eV/f.u.): 22.965
ΔE_f (eV per atom): -0.257
VASP energy (eV per atom): -4.8574
Total magnetic moment (Bohr magnetons per cell): 3.272
SG: Cmmm

Cell lengths 2.8351, 11.5209, 11.5209 Å; angles 93.50, 90.00, 90.00 degrees
Fractional positions:
Ti  0.0000  0.4129  0.0779
Ti  0.0000  0.5871  0.9221
Ti  0.0000  0.0779  0.4129
Ti  0.0000  0.9221  0.5871
Ti  0.0000  0.2394  0.2394
Ti  0.0000  0.6535  0.3465
Ti  0.0000  0.8270  0.1730
Ti  0.0000  0.1730  0.8270
Ti  0.0000  0.0000  0.0000
Ti  0.0000  0.3465  0.6535
Ti  0.0000  0.7606  0.7606
Zn  0.5000  0.6220  0.1312
Zn  0.5000  0.1312  0.6220
Zn  0.5000  0.9663  0.7938
Zn  0.5000  0.0337  0.2062
Zn  0.5000  0.7938  0.9663
Zn  0.5000  0.8688  0.3780
Zn  0.5000  0.2062  0.0337
Zn  0.5000  0.5000  0.5000
Zn  0.5000  0.3780  0.8688
Ga  0.5000  0.5521  0.7190
Ga  0.5000  0.7190  0.5521
Ga  0.5000  0.2810  0.4479
Ga  0.5000  0.4479  0.2810

***

4.
Here is Ti5ZnGa4 after structural relaxation from Alexandria via LeMat-Bulk. Energies are from PBE.

Output
D(E_F) (states/eV/f.u.): 10.242
ΔE_f (eV per atom): -0.412
VASP energy (eV per atom): -5.6973
Total magnetic moment (Bohr magnetons per cell): 0.019
SG: P4/mmm

Cell lengths 2.8187, 2.8187, 19.7204 Å; angles 90.00, 90.00, 90.00 degrees
Fractional positions:
Zn  0.0000  0.0000  0.0000
Ga  0.0000  0.0000  0.1988
Ga  0.0000  0.0000  0.8012
Ga  0.0000  0.0000  0.3994
Ga  0.0000  0.0000  0.6006
Ti  0.5000  0.5000  0.0997
Ti  0.5000  0.5000  0.7014
Ti  0.5000  0.5000  0.5000
Ti  0.5000  0.5000  0.9003
Ti  0.5000  0.5000  0.2986

***

5.
Here is Ti6ZnGa3 after structural relaxation from Alexandria via LeMat-Bulk. Energies are from PBE.

Output
D(E_F) (states/eV/f.u.): 10.695
ΔE_f (eV per atom): -0.143
VASP energy (eV per atom): -5.9152
Total magnetic moment (Bohr magnetons per cell): 0.000
SG: Cmc2_1

Cell lengths 6.2396, 7.9180, 7.9180 Å; angles 118.59, 90.00, 90.00 degrees
Fractional positions:
Ga  0.7739  0.5667  0.4333
Ga  0.9149  0.7129  0.9661
Ga  0.4149  0.9661  0.7129
Ga  0.9149  0.0339  0.2871
Ga  0.4149  0.2871  0.0339
Ga  0.2739  0.4333  0.5667
Ti  0.7781  0.9399  0.5438
Ti  0.0684  0.7619  0.6929
Ti  0.5684  0.6929  0.7619
Ti  0.3462  0.6482  0.3518
Ti  0.2781  0.5438  0.9399
Ti  0.0684  0.3071  0.2381
Ti  0.8462  0.3518  0.6482
Ti  0.7781  0.4562  0.0601
Ti  0.2781  0.0601  0.4562
Ti  0.7693  0.0458  0.9542
Ti  0.2693  0.9542  0.0458
Ti  0.5684  0.2381  0.3071
Zn  0.5732  0.8207  0.1793
Zn  0.0732  0.1793  0.8207

***

6.
Here is TiZnGa after structural relaxation from Alexandria via LeMat-Bulk. Energies are from PBE.

Output
D(E_F) (states/eV/f.u.): 1.381
ΔE_f (eV per atom): -0.255
VASP energy (eV per atom): -4.3205
Total magnetic moment (Bohr magnetons per cell): 0.000
SG: Pmmn

Cell lengths 3.0935, 4.1680, 7.3369 Å; angles 90.01, 89.98, 90.00 degrees
Fractional positions:
Ga  0.2507  0.7500  0.7342
Ga  0.7493  0.2500  0.2658
Ti  0.7505  0.2500  0.6236
Ti  0.2495  0.7500  0.3764
Zn  0.7500  0.7500  0.0417
Zn  0.2500  0.2500  0.9583

***

7.
Here is Ti2ZnGa3 after structural relaxation from Alexandria via LeMat-Bulk. Energies are from PBE.

Output
D(E_F) (states/eV/f.u.): 2.963
ΔE_f (eV per atom): -0.323
VASP energy (eV per atom): -4.6802
Total magnetic moment (Bohr magnetons per cell): 0.000
SG: P2_1/m

Cell lengths 5.0875, 5.6876, 7.3198 Å; angles 90.00, 115.65, 89.99 degrees
Fractional positions:
Ga  0.7910  0.2500  0.6626
Ga  0.2090  0.7500  0.3374
Ga  0.7776  0.7500  0.6592
Ga  0.2657  0.7500  0.0039
Ga  0.2224  0.2500  0.3408
Ga  0.7343  0.2500  0.9961
Zn  0.2534  0.2500  0.0048
Zn  0.7466  0.7500  0.9952
Ti  0.2912  0.4994  0.6830
Ti  0.2912  0.0007  0.6830
Ti  0.7088  0.9993  0.3170
Ti  0.7088  0.5006  0.3170

***

8.
Here is Ti3Zn4Ga2 after structural relaxation from Alexandria via LeMat-Bulk. Energies are from PBE.

Output
D(E_F) (states/eV/f.u.): 5.790
ΔE_f (eV per atom): -0.287
VASP energy (eV per atom): -4.1578
Total magnetic moment (Bohr magnetons per cell): 0.000
SG: C2/m

Cell lengths 4.2522, 5.1773, 7.9349 Å; angles 116.67, 90.00, 114.25 degrees
Fractional positions:
Ga  0.6099  0.2198  0.2758
Ga  0.3901  0.7802  0.7242
Zn  0.9472  0.8944  0.6119
Zn  0.0528  0.1056  0.3881
Zn  0.2766  0.5532  0.9460
Zn  0.7234  0.4468  0.0540
Ti  0.6679  0.3357  0.6658
Ti  0.3321  0.6643  0.3342
Ti  0.0000  0.0000  0.0000

***

Q: Which of these has the lowest VASP energy?
A: Ti6ZnGa